! MoIrF3 GGA+U optimized geometry; values from VASP
&SYSTEM
  ibrav = 0, nat = 5, ntyp = 3
/
ATOMIC_SPECIES
Mo 95.94 Mo.upf
Ir 192.22 Ir.upf
F 19.00 F.upf
ATOMIC_POSITIONS crystal
Mo 0.0000 0.0000 0.0000
Ir 0.5000 0.5000 0.5000
F 0.0000 0.5000 0.5000
F 0.5000 0.0000 0.5000
F 0.5000 0.5000 0.0000
CELL_PARAMETERS angstrom
4.2969 0.0000 0.0000
0.0000 4.2969 0.0000
0.0000 0.0000 4.2969
! - raw total energy (eV per cell) = -23.30
! - magnetic moment (μB/f.u.) = 4.44
! - energy above the most stable polymorph in this dataset (meV/atom) = 0.0